# ThMnCuSi2

ThMnCuSi2 after structural relaxation (PBE-GGA, Alexandria).

Results
ρ	7.93	g cm⁻³
SG	I-4m2
Fermi-level density of states	3.53	states/eV/f.u.
formation energy (no corrections)	-0.540	eV per atom

```
ThMnCuSi2
1.0
4.083 0.000 0.000
0.000 4.083 0.000
-2.042 -2.042 5.106
Si Cu Mn Th
2 1 1 1
direct
0.379 0.379 0.758
0.621 0.621 0.242
0.250 0.750 0.500
0.750 0.250 0.500
0.000 0.000 0.000
```